A relaxed Ho6AlTe5 crystal. Source: Alexandria via LeMat-Bulk, functional PBE-GGA.

a = 7.5344 Å, b = 12.9801 Å, c = 7.5113 Å
α = 90.00°, β = 109.44°, γ = 90.00°
Space group C2/m (No. 12)
Inequivalent atoms, fractional coordinates:
Ho 0.2290 0.0000 0.2597
Ho 0.2335 0.1564 0.7346
Al 0.0000 0.0000 0.5000
Te 0.0000 0.1750 0.0000
Te 0.0000 0.3356 0.5000
Te 0.0000 0.5000 0.0000

Values from the calculation:
Uncorrected formation energy = -1142 meV per atom